No. 1
A plane-wave DFT calculation with PBE-GGA was carried out for a relaxed structure of Na2CoRu.

Cell lengths 6.5839, 6.5839, 6.5839 Å; angles 90.00, 90.00, 90.00 degrees
Sites, in units of the cell vectors:
1 Na 0.2500 0.2500 0.2500
2 Na 0.2500 0.2500 0.7500
3 Na 0.2500 0.7500 0.2500
4 Na 0.2500 0.7500 0.7500
5 Na 0.7500 0.2500 0.2500
6 Na 0.7500 0.2500 0.7500
7 Na 0.7500 0.7500 0.2500
8 Na 0.7500 0.7500 0.7500
9 Co 0.0000 0.0000 0.0000
10 Co 0.0000 0.5000 0.5000
11 Co 0.5000 0.0000 0.5000
12 Co 0.5000 0.5000 0.0000
13 Ru 0.0000 0.0000 0.5000
14 Ru 0.0000 0.5000 0.0000
15 Ru 0.5000 0.0000 0.0000
16 Ru 0.5000 0.5000 0.5000

Summary:
Energy of formation = 1.28 eV per atom
Total DFT energy (no corrections) = -3.471 eV/atom
Space group = Fm-3m
Energy above the lowest structure with this stoichiometry = 117 meV per atom
Total magnetization = 0.8571 μB/atom
Crystal system = cubic
DOS(E_F) = 38.88 states/eV/cell

No. 2
A plane-wave DFT calculation with PBE-GGA was carried out for a relaxed structure of LiSmOs2O8.

Cell lengths 6.7721, 6.7721, 6.7721 Å; angles 134.39, 134.39, 66.49 degrees
Sites, in units of the cell vectors:
1 Li 0.0000 0.0000 0.0000
2 Sm 0.2500 0.7500 0.5000
3 Os 0.5000 0.5000 0.0000
4 Os 0.7500 0.2500 0.5000
5 O 0.2531 0.6610 0.0838
6 O 0.3390 0.4228 0.5921
7 O 0.4192 0.0025 0.0895
8 O 0.5772 0.1694 0.9162
9 O 0.6703 0.5808 0.5833
10 O 0.8306 0.7469 0.4079
11 O 0.9130 0.3297 0.9105
12 O 0.9975 0.0870 0.4167

Summary:
Total DFT energy (no corrections) = -7.242 eV/atom
Formation energy (no corrections) = -1.5123 eV/atom
Space group = I-4
Total magnetization = 0.3093 μB/atom
Crystal system = tetragonal
DOS(E_F) = 4.93 states/eV/cell

No. 3
A plane-wave DFT calculation with PBE-GGA was carried out for a relaxed structure of ScAg2Mo.

Cell lengths 6.6474, 6.6474, 6.6474 Å; angles 90.00, 90.00, 90.00 degrees
Sites, in units of the cell vectors:
1 Sc 0.0000 0.0000 0.0000
2 Sc 0.0000 0.5000 0.5000
3 Sc 0.5000 0.0000 0.5000
4 Sc 0.5000 0.5000 0.0000
5 Ag 0.0000 0.0000 0.5000
6 Ag 0.0000 0.5000 0.0000
7 Ag 0.2500 0.2500 0.7500
8 Ag 0.2500 0.7500 0.2500
9 Ag 0.5000 0.0000 0.0000
10 Ag 0.5000 0.5000 0.5000
11 Ag 0.7500 0.2500 0.2500
12 Ag 0.7500 0.7500 0.7500
13 Mo 0.2500 0.2500 0.2500
14 Mo 0.2500 0.7500 0.7500
15 Mo 0.7500 0.2500 0.7500
16 Mo 0.7500 0.7500 0.2500

Summary:
Energy of formation = 0.36 eV per atom
Total DFT energy (no corrections) = -5.359 eV/atom
Space group = F-43m
Energy above the lowest structure with this stoichiometry = 214 meV per atom
Total magnetization = 0.7300 μB/atom
Crystal system = cubic
DOS(E_F) = 3.78 states/eV/cell

No. 4
A plane-wave DFT calculation with PBE-GGA was carried out for a relaxed structure of Pu2TaB2Ru5.

Cell lengths 9.7602, 9.7602, 3.0899 Å; angles 90.00, 90.00, 90.00 degrees
Sites, in units of the cell vectors:
1 Pu 0.1770 0.3230 0.0000
2 Pu 0.3230 0.8230 0.0000
3 Pu 0.6770 0.1770 0.0000
4 Pu 0.8230 0.6770 0.0000
5 Ta 0.0000 0.0000 0.0000
6 Ta 0.5000 0.5000 0.0000
7 B 0.1198 0.6198 0.0000
8 B 0.3802 0.1198 0.0000
9 B 0.6198 0.8802 0.0000
10 B 0.8802 0.3802 0.0000
11 Ru 0.0000 0.5000 0.5000
12 Ru 0.0695 0.7800 0.5000
13 Ru 0.2200 0.0695 0.5000
14 Ru 0.2800 0.5695 0.5000
15 Ru 0.4305 0.2800 0.5000
16 Ru 0.5000 0.0000 0.5000
17 Ru 0.5695 0.7200 0.5000
18 Ru 0.7200 0.4305 0.5000
19 Ru 0.7800 0.9305 0.5000
20 Ru 0.9305 0.2200 0.5000

Summary:
Energy of formation = -0.38 eV per atom
Total DFT energy (no corrections) = -10.407 eV/atom
Space group = P4/mbm
Total magnetization = 0.8404 μB/atom
Crystal system = tetragonal
DOS(E_F) = 35.07 states/eV/cell